(1)
Material: CrNiPt2
Method: DFT, PBE
State: optimized geometry

## Properties
The value obtained for the formation energy from the elements is -0.050 eV/atom. Its density of states at the Fermi level is 4.0 states/eV/cell. The volume comes out at 54.7 Å³/cell. The symmetry is R3m (160). As for the total magnetization: 0.6 μB per cell.

Unit cell a=8.8134 b=8.8134 c=8.8134 alpha=17.61 beta=17.61 gamma=17.61
With the nearest neighbours (Å) after each atom.
Fractional coordinates of all 4 atoms:
Cr  0.4957  0.4957  0.4957  3 Ni 2.47, 3 Pt 2.63, 6 Cr 2.70
Ni  0.7554  0.7554  0.7554  3 Cr 2.47, 3 Pt 2.67, 6 Ni 2.70
Pt  0.0052  0.0052  0.0052  3 Ni 2.67, 9 Pt 2.70-2.92
Pt  0.2437  0.2437  0.2437  3 Cr 2.63, 9 Pt 2.70-2.92

(2)
Material: CrNi3Pt
Method: DFT, PBE
State: optimized geometry

## Properties
The value obtained for the formation energy from the elements is 0.631 eV/atom. Its density of states at the Fermi level is 10.4 states/eV/cell. The volume comes out at 83.6 Å³/cell. The symmetry is C2/m (12). As for the total magnetization: 3.1 μB per cell.

Unit cell a=6.9483 b=4.8966 c=4.8923 alpha=119.95 beta=89.97 gamma=45.10
With the nearest neighbours (Å) after each atom.
Fractional coordinates of all 5 atoms:
Cr  0.0000  0.0000  0.0000  6 Ni 2.45
Ni  0.0000  0.0000  0.5000  2 Cr 2.45, 4 Ni 2.45, 2 Pt 2.46
Ni  0.0000  0.5000  0.5000  4 Ni 2.45, 2 Cr 2.45, 2 Pt 2.46
Ni  0.0000  0.5000  0.0000  4 Ni 2.45, 2 Cr 2.45, 2 Pt 2.46
Pt  0.5000  0.0000  0.0000  6 Ni 2.46

(3)
Material: CrNiPt2
Method: DFT, PBE
State: optimized geometry

## Properties
The value obtained for the formation energy from the elements is -0.157 eV/atom. Its density of states at the Fermi level is 5.4 states/eV/cell. The volume comes out at 56.1 Å³/cell. The symmetry is Cmmm (65). As for the total magnetization: 3.8 μB per cell.

Unit cell a=4.6007 b=6.1253 c=2.7731 alpha=63.07 beta=90.01 gamma=121.95
With the nearest neighbours (Å) after each atom.
Fractional coordinates of all 4 atoms:
Cr  0.5000  0.5000  0.0000  8 Pt 2.69, 2 Ni 2.73, 2 Cr 2.77
Ni  0.5000  0.0000  0.5000  8 Pt 2.69, 2 Cr 2.73, 2 Ni 2.77
Pt  0.0000  0.0000  0.0000  4 Cr 2.69, 4 Ni 2.69, 4 Pt 2.73-2.77
Pt  0.0000  0.5000  0.5000  4 Ni 2.69, 4 Cr 2.69, 4 Pt 2.73-2.77

(4)
Material: CrNi4Pt2
Method: DFT, PBE
State: optimized geometry

## Properties
The value obtained for the formation energy from the elements is 0.413 eV/atom. Its density of states at the Fermi level is 12.4 states/eV/cell. The volume comes out at 99.0 Å³/cell. The symmetry is I4/mmm (139). As for the total magnetization: 2.7 μB per cell.

Unit cell a=4.5714 b=4.5714 c=5.7367 alpha=113.47 beta=113.48 gamma=90.00
With the nearest neighbours (Å) after each atom.
Fractional coordinates of all 7 atoms:
Cr  0.0000  0.0000  0.0000  4 Ni 2.29
Pt  0.6398  0.6398  0.2796  8 Ni 2.51-2.64, 1 Pt 2.65
Pt  0.3602  0.3602  0.7204  8 Ni 2.51-2.64, 1 Pt 2.65
Ni  0.7500  0.2499  0.5000  2 Ni 2.37, 4 Pt 2.51
Ni  0.2500  0.7501  0.5000  2 Ni 2.37, 4 Pt 2.51
Ni  0.5000  0.0000  0.0000  2 Cr 2.29, 2 Ni 2.37
Ni  0.0000  0.5000  0.0000  2 Cr 2.29, 2 Ni 2.37

(5)
Material: CrNi2Pt4
Method: DFT, PBE
State: optimized geometry

## Properties
The value obtained for the formation energy from the elements is 0.111 eV/atom. Its density of states at the Fermi level is 19.1 states/eV/cell. The volume comes out at 207.9 Å³/cell. The symmetry is I-42d (122). As for the total magnetization: 2.4 μB per cell.

Unit cell a=6.4639 b=6.4639 c=6.4639 alpha=109.27 beta=109.87 gamma=109.27
With the nearest neighbours (Å) after each atom.
Fractional coordinates of all 14 atoms:
Cr  0.0000  0.0000  0.0000  8 Pt 2.57
Cr  0.7500  0.5000  0.2500  8 Pt 2.57
Ni  0.8750  0.1255  0.5005  8 Pt 2.58-2.60
Ni  0.4995  0.3745  0.6250  8 Pt 2.58-2.60
Ni  0.3750  0.8745  0.7495  8 Pt 2.58-2.60
Ni  0.2505  0.6255  0.1250  8 Pt 2.58-2.60
Pt  0.1213  0.9141  0.3724  2 Cr 2.57, 4 Ni 2.58-2.60, 3 Pt 2.73-2.81
Pt  0.6276  0.7488  0.5417  2 Cr 2.57, 4 Ni 2.58-2.60, 3 Pt 2.73-2.81
Pt  0.9571  0.5859  0.7083  2 Cr 2.57, 4 Ni 2.58-2.60, 3 Pt 2.73-2.81
Pt  0.2917  0.2488  0.8776  2 Cr 2.57, 4 Ni 2.58-2.60, 3 Pt 2.73-2.81
Pt  0.6287  0.7512  0.0429  2 Cr 2.57, 4 Ni 2.58-2.60, 3 Pt 2.73-2.81
Pt  0.7929  0.2512  0.8787  2 Cr 2.57, 4 Ni 2.58-2.60, 3 Pt 2.73-2.81
Pt  0.4583  0.0859  0.2071  2 Cr 2.57, 4 Ni 2.58-2.60, 3 Pt 2.73-2.81
Pt  0.1224  0.4141  0.3713  2 Cr 2.57, 4 Ni 2.58-2.60, 3 Pt 2.73-2.81

(6)
Material: CrNiPt4
Method: DFT, PBE
State: optimized geometry

## Properties
The value obtained for the formation energy from the elements is 0.215 eV/atom. Its density of states at the Fermi level is 13.2 states/eV/cell. The volume comes out at 100.1 Å³/cell. The symmetry is F-43m (216). As for the total magnetization: 3.5 μB per cell.

Unit cell a=5.2124 b=5.2124 c=5.2124 alpha=60.00 beta=60.00 gamma=60.00
With the nearest neighbours (Å) after each atom.
Fractional coordinates of all 6 atoms:
Cr  0.7500  0.7500  0.7500  12 Pt 3.06, 4 Ni 3.19
Ni  0.0000  0.0000  0.0000  12 Pt 3.06, 4 Cr 3.19
Pt  0.8753  0.3749  0.3749  6 Pt 2.60-2.61
Pt  0.3749  0.3749  0.8753  6 Pt 2.60-2.61
Pt  0.3749  0.8753  0.3749  6 Pt 2.60-2.61
Pt  0.3749  0.3749  0.3749  6 Pt 2.60-2.61

Calculated VASP energy (eV/atom), listed in the same order as above: -6.9217, -5.9702, -7.0286, -5.9918, -6.3674, -6.3794